P | The following is a PBE calculation of an optimized crystal structure of LaHoAs2, from Alexandria.

Cell: 7.6088 7.6088 7.6088 Å, 32.02 32.02 32.02°
With the nearest neighbours (Å) after each atom.
Fractional coordinates of all 4 atoms:
La (0.0000, 0.0000, 0.0000)  6 As 3.03-3.11
Ho (0.8288, 0.8288, 0.8288)  6 As 2.96-2.99
As (0.4172, 0.4172, 0.4172)  3 Ho 2.96, 3 La 3.03
As (0.5768, 0.5768, 0.5768)  3 Ho 2.99, 3 La 3.11

- Calculated density: 6.85 g/cm3

Q | The following is a PBE calculation of an optimized crystal structure of LaHoAs2, from Alexandria.

Cell: 7.3310 7.3310 7.3310 Å, 33.64 33.64 33.64°
With the nearest neighbours (Å) after each atom.
Fractional coordinates of all 4 atoms:
La (0.0000, 0.0000, 0.0000)  6 As 3.06
Ho (0.5000, 0.5000, 0.5000)  6 As 2.94
As (0.2451, 0.2451, 0.2451)  3 Ho 2.94, 3 La 3.06
As (0.7549, 0.7549, 0.7549)  3 Ho 2.94, 3 La 3.06

- Calculated density: 7.00 g/cm3

Relative energies, unit kJ/mol of atoms: P 15.9; Q 0.0

P | The following is a PBE calculation of an optimized crystal structure of HoNbAs2, from Alexandria.

Cell: 6.8125 6.8125 6.8125 Å, 32.97 32.97 32.97°
With the nearest neighbours (Å) after each atom.
Fractional coordinates of all 4 atoms:
Ho (0.0000, 0.0000, 0.0000)  6 As 2.83
Nb (0.5000, 0.5000, 0.5000)  6 As 2.68
As (0.2431, 0.2431, 0.2431)  3 Nb 2.68, 3 Ho 2.83
As (0.7569, 0.7569, 0.7569)  3 Nb 2.68, 3 Ho 2.83

- Calculated density: 8.12 g/cm3

Q | The following is a PBE calculation of an optimized crystal structure of HoNbAs2, from Alexandria.

Cell: 7.0841 7.0841 7.0841 Å, 30.98 30.98 30.98°
With the nearest neighbours (Å) after each atom.
Fractional coordinates of all 4 atoms:
Ho (0.0000, 0.0000, 0.0000)  6 As 2.79-2.91
Nb (0.1742, 0.1742, 0.1742)  6 As 2.64-2.71
As (0.4286, 0.4286, 0.4286)  3 Nb 2.71, 3 Ho 2.91
As (0.5807, 0.5807, 0.5807)  3 Nb 2.64, 3 Ho 2.79

- Calculated density: 8.10 g/cm3

Relative energies, unit kJ/mol of atoms: P 7.8; Q 0.0

P | The following is a PBE calculation of an optimized crystal structure of Ho2AsO, from Alexandria.

Cell: 6.4816 6.4816 6.4816 Å, 33.81 33.81 33.81°
With the nearest neighbours (Å) after each atom.
Fractional coordinates of all 4 atoms:
Ho (0.2386, 0.2386, 0.2386)  3 O 2.54, 3 As 2.78
Ho (0.7614, 0.7614, 0.7614)  3 O 2.54, 3 As 2.78
As (0.0000, 0.0000, 0.0000)  6 Ho 2.78
O (0.5000, 0.5000, 0.5000)  6 Ho 2.54

- Calculated density: 9.30 g/cm3

Q | The following is a PBE calculation of an optimized crystal structure of Ho2AsO, from Alexandria.

Cell: 3.8574 10.4237 4.1469 Å, 90.00 90.00 90.00°
With the nearest neighbours (Å) after each atom.
Fractional coordinates of all 8 atoms:
Ho (0.0000, 0.0980, 0.0000)  4 O 2.24-2.26
Ho (0.0000, 0.3948, 0.5027)  5 As 2.92
Ho (0.5000, 0.6052, 0.0027)  5 As 2.92
Ho (0.5000, 0.9020, 0.5000)  4 O 2.24-2.26
As (0.0000, 0.6744, 0.5027)  7 Ho 2.92-3.06
As (0.5000, 0.3256, 0.0027)  7 Ho 2.92-3.06
O (0.0000, 0.0156, 0.4995)  4 Ho 2.24-2.26
O (0.5000, 0.9844, 0.9995)  4 Ho 2.24-2.26

- Calculated density: 8.38 g/cm3

Relative energies, unit kJ/mol of atoms: P 22.1; Q 0.0

P | The following is a PBE calculation of an optimized crystal structure of HoPaAs2, from Alexandria.

Cell: 7.3732 7.3732 7.3732 Å, 31.79 31.79 31.79°
With the nearest neighbours (Å) after each atom.
Fractional coordinates of all 4 atoms:
Ho (0.0000, 0.0000, 0.0000)  6 As 2.86-3.01
Pa (0.1764, 0.1764, 0.1764)  6 As 2.85-2.94
As (0.5880, 0.5880, 0.5880)  3 Pa 2.85, 3 Ho 2.86
As (0.7575, 0.7575, 0.7575)  3 Pa 2.94, 3 Ho 3.01

- Calculated density: 9.17 g/cm3

Q | The following is a PBE calculation of an optimized crystal structure of HoPaAs2, from Alexandria.

Cell: 8.8634 8.8634 8.8634 Å, 27.26 27.26 27.26°
With the nearest neighbours (Å) after each atom.
Fractional coordinates of all 4 atoms:
Ho (0.0000, 0.0000, 0.0000)  2 As 2.77
Pa (0.5000, 0.5000, 0.5000)  6 As 2.84
As (0.1082, 0.1082, 0.1082)  1 Ho 2.77, 3 Pa 2.84
As (0.8918, 0.8918, 0.8918)  1 Ho 2.77, 3 Pa 2.84

- Calculated density: 7.03 g/cm3

Relative energies, unit kJ/mol of atoms: P 0.0; Q 65.2

P | The following is a PBE calculation of an optimized crystal structure of HoAs2Pd4, from Alexandria.

Cell: 7.7342 7.7342 4.0765 Å, 90.00 90.00 90.00°
With the nearest neighbours (Å) after each atom.
Fractional coordinates of all 14 atoms:
Ho (0.0000, 0.0000, 0.0000)  6 As 3.04-3.17, 8 Pd 3.37
Ho (0.5000, 0.5000, 0.5000)  6 As 3.04-3.17, 8 Pd 3.37
As (0.2218, 0.2218, 0.5000)  6 Pd 2.54-2.56
As (0.2782, 0.7218, 0.0000)  6 Pd 2.54-2.56
As (0.7218, 0.2782, 0.0000)  6 Pd 2.54-2.56
As (0.7782, 0.7782, 0.5000)  6 Pd 2.54-2.56
Pd (0.0859, 0.6634, 0.5000)  3 As 2.54-2.56, 1 Pd 2.74
Pd (0.1634, 0.4141, 0.0000)  3 As 2.54-2.56, 1 Pd 2.74
Pd (0.3366, 0.9141, 0.5000)  3 As 2.54-2.56, 1 Pd 2.74
Pd (0.4141, 0.1634, 0.0000)  3 As 2.54-2.56, 1 Pd 2.74
Pd (0.5859, 0.8366, 0.0000)  3 As 2.54-2.56, 1 Pd 2.74
Pd (0.6634, 0.0859, 0.5000)  3 As 2.54-2.56, 1 Pd 2.74
Pd (0.8366, 0.5859, 0.0000)  3 As 2.54-2.56, 1 Pd 2.74
Pd (0.9141, 0.3366, 0.5000)  3 As 2.54-2.56, 1 Pd 2.74

- Calculated density: 10.08 g/cm3

Q | The following is a PBE calculation of an optimized crystal structure of HoAs2Pd4, from Alexandria.

Cell: 7.0078 7.0078 4.3547 Å, 90.00 90.00 144.20°
With the nearest neighbours (Å) after each atom.
Fractional coordinates of all 7 atoms:
Ho (0.0000, 0.0000, 0.0000)  8 Pd 3.18-3.22, 8 As 3.30
As (0.4077, 0.5923, 0.5000)  4 Pd 2.44, 1 As 2.46
As (0.5923, 0.4077, 0.5000)  4 Pd 2.44, 1 As 2.46
Pd (0.1782, 0.8218, 0.5000)  2 As 2.44
Pd (0.3245, 0.6755, 0.0000)  2 As 2.44
Pd (0.6755, 0.3245, 0.0000)  2 As 2.44
Pd (0.8218, 0.1782, 0.5000)  2 As 2.44

- Calculated density: 9.83 g/cm3

Relative energies, unit kJ/mol of atoms: P 0.0; Q 7.1

P | The following is a PBE calculation of an optimized crystal structure of PmHoAs, from Alexandria.

Cell: 4.8798 4.8798 4.8798 Å, 60.00 60.00 60.00°
With the nearest neighbours (Å) after each atom.
Fractional coordinates of all 3 atoms:
Pm (0.0000, 0.0000, 0.0000)  4 As 2.99
Ho (0.5000, 0.5000, 0.5000)  4 As 2.99
As (0.7500, 0.7500, 0.7500)  4 Ho 2.99, 4 Pm 2.99

- Calculated density: 7.78 g/cm3

Q | The following is a PBE calculation of an optimized crystal structure of PmHoAs, from Alexandria.

Cell: 4.0041 4.0041 6.5811 Å, 90.00 90.00 120.00°
With the nearest neighbours (Å) after each atom.
Fractional coordinates of all 3 atoms:
Pm (0.0000, 0.0000, 0.0000)  3 As 2.92
Ho (0.6667, 0.3333, 0.5195)  3 As 2.84
As (0.3333, 0.6667, 0.2702)  3 Ho 2.84, 3 Pm 2.92

- Calculated density: 6.99 g/cm3

Relative energies, unit kJ/mol of atoms: P 6.8; Q 0.0